(1)
VASP calculation (PBE) on a relaxed structure of CdHgMo3.

a b c (Å): 4.958 4.958 4.958
angles (deg): 90.00 90.00 90.00
Space group Pm-3m (No. 221)
Inequivalent atoms, fractional coordinates:
Cd (0.000, 0.000, 0.000) x1
Hg (0.500, 0.500, 0.500) x1
Mo (0.000, 0.500, 0.500) x3

Summary:
As for the crystal system: cubic. Its density is 8.2 g/cm³. The formation energy comes out at 2446.4 meV per atom. The energy above the most stable polymorph in this dataset is 0 meV per atom.



(2)
VASP calculation (PBE) on a relaxed structure of BaTa2As.

a b c (Å): 3.596 4.215 7.141
angles (deg): 90.00 104.33 90.00
Space group Pm (No. 6)
Inequivalent atoms, fractional coordinates:
Ba (0.000, 0.000, 0.000) x1
Ta (0.260, 0.000, 0.510) x1
Ta (0.740, 0.500, 0.471) x1
As (0.380, 0.500, 0.755) x1

Summary:
As for the crystal system: monoclinic. Its density is 9.1 g/cm³. The formation energy comes out at 11.7 meV per atom.



(3)
VASP calculation (PBE) on a relaxed structure of Er7In2Ir2.

a b c (Å): 8.177 10.803 7.023
angles (deg): 90.00 90.00 90.00
Space group Cmmm (No. 65)
Inequivalent atoms, fractional coordinates:
Er (0.000, 0.000, 0.000) x2
Er (0.000, 0.500, 0.241) x4
Er (0.250, 0.250, 0.248) x8
In (0.177, 0.000, 0.500) x4
Ir (0.000, 0.287, 0.000) x4

Summary:
As for the crystal system: orthorhombic. Its density is 9.6 g/cm³. The formation energy comes out at -478.6 meV per atom.